A relaxed structure of KCaY2. Source: Alexandria via LeMat-Bulk, functional PBE.

Computed properties:
DFT formation energy in meV per atom: 475
Energy above the most stable polymorph in this dataset in meV/atom: 293
DOS at the Fermi energy in states/eV/f.u.: 6.8
Energy in eV per atom: -3.532
Calculated density in g/cm3: 2.7

The structure in extended XYZ format:
```
4
Lattice="-2.5736 2.5736 5.9464 2.5736 -2.5736 5.9464 2.5736 2.5736 -5.9464" Properties=species:S:1:pos:R:3 pbc="T T T"
K 0.0000 0.0000 0.0000
Ca 0.0000 0.0000 5.9464
Y 2.5736 0.0000 2.9732
Y 0.0000 2.5736 2.9732
```